Version P
HoTh2Ru | PBE | optimized geometry

Calculated values
**Size of the total moment**: 0.000 μB per formula unit

Cell and atoms, written as CIF:
```
data_HoTh2Ru
_cell_length_a 3.633
_cell_length_b 3.633
_cell_length_c 8.224
_cell_angle_alpha 90.00
_cell_angle_beta 90.00
_cell_angle_gamma 90.00
_space_group_name_H-M_alt 'P 4/m m m'
_space_group_IT_number 123
_space_group_name_Hall '-P 4 2'
loop_
_atom_site_label
_atom_site_type_symbol
_atom_site_fract_x
_atom_site_fract_y
_atom_site_fract_z
Ho1 Ho 0.000 0.000 0.000
Th1 Th 0.500 0.500 0.299
Ru1 Ru 0.000 0.000 0.500
```



Version Q
HoTh2Ru | PBE | optimized geometry

Calculated values
**Size of the total moment**: 0.000 μB per formula unit

Cell and atoms, written as CIF:
```
data_HoTh2Ru
_cell_length_a 7.205
_cell_length_b 9.873
_cell_length_c 6.259
_cell_angle_alpha 90.00
_cell_angle_beta 90.00
_cell_angle_gamma 90.00
_space_group_name_H-M_alt 'P n m a'
_space_group_IT_number 62
loop_
_space_group_symop_operation_xyz
'x,y,z'
'-x,-y,-z'
'-x+1/2,-y,z+1/2'
'x+1/2,y,-z+1/2'
'x+1/2,-y+1/2,-z+1/2'
'-x+1/2,y+1/2,z+1/2'
'-x,y+1/2,-z'
'x,-y+1/2,z'
loop_
_atom_site_label
_atom_site_type_symbol
_atom_site_fract_x
_atom_site_fract_y
_atom_site_fract_z
Ho1 Ho 0.041 0.250 0.149
Th1 Th 0.171 0.062 0.664
Ru1 Ru 0.115 0.750 0.389
```



Version R
HoTh2Ru | PBE | optimized geometry

Calculated values
**Size of the total moment**: 0.000 μB per formula unit

Cell and atoms, written as CIF:
```
data_HoTh2Ru
_cell_length_a 3.845
_cell_length_b 11.713
_cell_length_c 9.862
_cell_angle_alpha 90.00
_cell_angle_beta 90.00
_cell_angle_gamma 90.00
_space_group_name_H-M_alt 'C m c m'
_space_group_IT_number 63
_space_group_name_Hall '-C 2c 2'
loop_
_atom_site_label
_atom_site_type_symbol
_atom_site_fract_x
_atom_site_fract_y
_atom_site_fract_z
Ho1 Ho 0.000 0.082 0.250
Th1 Th 0.000 0.361 0.064
Ru1 Ru 0.000 0.206 0.750
```



Version S
HoTh2Ru | PBE | optimized geometry

Calculated values
**Size of the total moment**: 0.000 μB per formula unit

Cell and atoms, written as CIF:
```
data_HoTh2Ru
_cell_length_a 3.8138
_cell_length_b 3.8138
_cell_length_c 30.6775
_cell_angle_alpha 90.00
_cell_angle_beta 90.00
_cell_angle_gamma 120.00
_space_group_name_H-M_alt 'R -3 m'
_space_group_IT_number 166
_space_group_name_Hall '-R 3 2"'
loop_
_atom_site_label
_atom_site_type_symbol
_atom_site_fract_x
_atom_site_fract_y
_atom_site_fract_z
Ho1 Ho 0.0000 0.0000 0.0000
Th1 Th 0.0000 0.0000 0.1112
Ru1 Ru 0.0000 0.0000 0.5000
```



version Q takes first place; second place is 9 meV per atom up.



Version P
Ho3Tl2Ru | PBE | optimized geometry

Calculated values
**Size of the total moment**: 0.000 μB per formula unit

Cell and atoms, written as CIF:
```
data_Ho3Tl2Ru
_cell_length_a 7.784
_cell_length_b 10.655
_cell_length_c 7.994
_cell_angle_alpha 90.00
_cell_angle_beta 99.48
_cell_angle_gamma 90.00
_space_group_name_H-M_alt 'C 1 2/m 1'
_space_group_IT_number 12
loop_
_space_group_symop_operation_xyz
'x,y,z'
'-x,-y,-z'
'-x,y,-z'
'x,-y,z'
'x+1/2,y+1/2,z'
'-x+1/2,-y+1/2,-z'
'-x+1/2,y+1/2,-z'
'x+1/2,-y+1/2,z'
loop_
_atom_site_label
_atom_site_type_symbol
_atom_site_fract_x
_atom_site_fract_y
_atom_site_fract_z
Ho1 Ho 0.166 0.000 0.163
Ho2 Ho 0.225 0.178 0.778
Tl1 Tl 0.000 0.000 0.500
Tl2 Tl 0.000 0.359 0.500
Tl3 Tl 0.000 0.500 0.000
Ru1 Ru 0.000 0.214 0.000
```



Version Q
Ho3Tl2Ru | PBE | optimized geometry

Calculated values
**Size of the total moment**: 0.000 μB per formula unit

Cell and atoms, written as CIF:
```
data_Ho3Tl2Ru
_cell_length_a 5.103
_cell_length_b 15.149
_cell_length_c 7.605
_cell_angle_alpha 90.00
_cell_angle_beta 90.00
_cell_angle_gamma 90.00
_space_group_name_H-M_alt 'C m m m'
_space_group_IT_number 65
_space_group_name_Hall '-C 2 2'
loop_
_atom_site_label
_atom_site_type_symbol
_atom_site_fract_x
_atom_site_fract_y
_atom_site_fract_z
Ho1 Ho 0.000 0.000 0.231
Ho2 Ho 0.000 0.324 0.219
Tl1 Tl 0.000 0.164 0.500
Tl2 Tl 0.000 0.500 0.000
Tl3 Tl 0.000 0.500 0.500
Ru1 Ru 0.000 0.164 0.000
```



version Q takes first place; second place is 98 meV per atom up.



Version P
Ho5Tl2Ru | PBE | optimized geometry

Calculated values
**Size of the total moment**: 0.000 μB per formula unit

Cell and atoms, written as CIF:
```
data_Ho5Tl2Ru
_cell_length_a 7.057
_cell_length_b 7.057
_cell_length_c 8.833
_cell_angle_alpha 90.00
_cell_angle_beta 90.00
_cell_angle_gamma 90.00
_space_group_name_H-M_alt 'I 4 m m'
_space_group_IT_number 107
_space_group_name_Hall 'I 4 -2'
loop_
_atom_site_label
_atom_site_type_symbol
_atom_site_fract_x
_atom_site_fract_y
_atom_site_fract_z
Ho1 Ho 0.000 0.000 0.000
Ho2 Ho 0.245 0.245 0.727
Tl1 Tl 0.000 0.500 0.470
Ru1 Ru 0.000 0.000 0.330
```



Version Q
Ho5Tl2Ru | PBE | optimized geometry

Calculated values
**Size of the total moment**: 0.000 μB per formula unit

Cell and atoms, written as CIF:
```
data_Ho5Tl2Ru
_cell_length_a 7.662
_cell_length_b 12.115
_cell_length_c 4.652
_cell_angle_alpha 90.00
_cell_angle_beta 90.00
_cell_angle_gamma 90.00
_space_group_name_H-M_alt 'P b a m'
_space_group_IT_number 55
loop_
_space_group_symop_operation_xyz
'x,y,z'
'-x,-y,-z'
'-x,-y,z'
'x,y,-z'
'x+1/2,-y+1/2,-z'
'-x+1/2,y+1/2,z'
'-x+1/2,y+1/2,-z'
'x+1/2,-y+1/2,z'
loop_
_atom_site_label
_atom_site_type_symbol
_atom_site_fract_x
_atom_site_fract_y
_atom_site_fract_z
Ho1 Ho 0.000 0.000 0.000
Ho2 Ho 0.140 0.297 0.000
Ho3 Ho 0.182 0.573 0.500
Tl1 Tl 0.076 0.832 0.500
Ru1 Ru 0.000 0.500 0.000
```



version Q takes first place; second place is 162 meV per atom up.



Version P
Ho2TmRu2 | PBE | optimized geometry

Calculated values
**Size of the total moment**: 0.000 μB per formula unit

Cell and atoms, written as CIF:
```
data_Ho2TmRu2
_cell_length_a 3.375
_cell_length_b 20.208
_cell_length_c 3.354
_cell_angle_alpha 90.00
_cell_angle_beta 90.00
_cell_angle_gamma 90.00
_space_group_name_H-M_alt 'C m m m'
_space_group_IT_number 65
_space_group_name_Hall '-C 2 2'
loop_
_atom_site_label
_atom_site_type_symbol
_atom_site_fract_x
_atom_site_fract_y
_atom_site_fract_z
Ho1 Ho 0.000 0.165 0.000
Tm1 Tm 0.000 0.000 0.000
Ru1 Ru 0.000 0.413 0.500
```



Version Q
Ho2TmRu2 | PBE | optimized geometry

Calculated values
**Size of the total moment**: 0.000 μB per formula unit

Cell and atoms, written as CIF:
```
data_Ho2TmRu2
_cell_length_a 5.428
_cell_length_b 4.385
_cell_length_c 10.084
_cell_angle_alpha 90.00
_cell_angle_beta 97.42
_cell_angle_gamma 90.00
_space_group_name_H-M_alt 'P 1 21/m 1'
_space_group_IT_number 11
loop_
_space_group_symop_operation_xyz
'x,y,z'
'-x,-y,-z'
'-x,y+1/2,-z'
'x,-y+1/2,z'
loop_
_atom_site_label
_atom_site_type_symbol
_atom_site_fract_x
_atom_site_fract_y
_atom_site_fract_z
Ho1 Ho 0.113 0.250 0.384
Ho2 Ho 0.249 0.250 0.028
Tm1 Tm 0.421 0.250 0.716
Ru1 Ru 0.254 0.750 0.846
Ru2 Ru 0.362 0.750 0.545
```



version P takes first place; second place is 107 meV per atom up.



Version P
HoTm2Ru | PBE | optimized geometry

Calculated values
**Size of the total moment**: 0.000 μB per formula unit

Cell and atoms, written as CIF:
```
data_HoTm2Ru
_cell_length_a 3.882
_cell_length_b 11.760
_cell_length_c 8.956
_cell_angle_alpha 90.00
_cell_angle_beta 90.00
_cell_angle_gamma 90.00
_space_group_name_H-M_alt 'C m c m'
_space_group_IT_number 63
_space_group_name_Hall '-C 2c 2'
loop_
_atom_site_label
_atom_site_type_symbol
_atom_site_fract_x
_atom_site_fract_y
_atom_site_fract_z
Ho1 Ho 0.000 0.074 0.250
Tm1 Tm 0.000 0.357 0.066
Ru1 Ru 0.000 0.257 0.750
```



Version Q
HoTm2Ru | PBE | optimized geometry

Calculated values
**Size of the total moment**: 0.403 μB per formula unit

Cell and atoms, written as CIF:
```
data_HoTm2Ru
_cell_length_a 3.4434
_cell_length_b 3.4434
_cell_length_c 31.7751
_cell_angle_alpha 90.00
_cell_angle_beta 90.00
_cell_angle_gamma 120.00
_space_group_name_H-M_alt 'R -3 m'
_space_group_IT_number 166
_space_group_name_Hall '-R 3 2"'
loop_
_atom_site_label
_atom_site_type_symbol
_atom_site_fract_x
_atom_site_fract_y
_atom_site_fract_z
Ho1 Ho 0.0000 0.0000 0.0000
Tm1 Tm 0.0000 0.0000 0.1069
Ru1 Ru 0.0000 0.0000 0.5000
```



Version R
HoTm2Ru | PBE | optimized geometry

Calculated values
**Size of the total moment**: 0.000 μB per formula unit

Cell and atoms, written as CIF:
```
data_HoTm2Ru
_cell_length_a 7.268
_cell_length_b 9.010
_cell_length_c 6.238
_cell_angle_alpha 90.00
_cell_angle_beta 90.00
_cell_angle_gamma 90.00
_space_group_name_H-M_alt 'P n m a'
_space_group_IT_number 62
loop_
_space_group_symop_operation_xyz
'x,y,z'
'-x,-y,-z'
'-x+1/2,-y,z+1/2'
'x+1/2,y,-z+1/2'
'x+1/2,-y+1/2,-z+1/2'
'-x+1/2,y+1/2,z+1/2'
'-x,y+1/2,-z'
'x,-y+1/2,z'
loop_
_atom_site_label
_atom_site_type_symbol
_atom_site_fract_x
_atom_site_fract_y
_atom_site_fract_z
Ho1 Ho 0.040 0.250 0.129
Tm1 Tm 0.176 0.063 0.667
Ru1 Ru 0.116 0.750 0.460
```



version R takes first place; second place is 18 meV per atom up.